(1)
Below is Ca3Cl5F after structural relaxation, with properties calculated at the GGA-PBE level.

Properties
The value obtained for the uncorrected energy is -81.00 eV per cell. As for the space group: C2/m. The uncorrected formation energy is -2599 meV/atom. Its total magnetization is 0.000 μB per atom.

The structure in extended XYZ format:
```
18
Lattice="5.9576 -4.5978 0.0000 5.9576 4.5978 0.0000 -3.1791 0.0000 8.6701" Properties=species:S:1:pos:R:3 pbc="T T T"
Ca 0.0000 0.0000 0.0000
Ca -1.5896 0.0000 4.3351
Ca 2.2974 0.0000 3.1999
Ca 1.3805 0.0000 7.2714
Ca 7.3555 0.0000 1.3988
Ca 6.4386 0.0000 5.4702
Cl 2.6541 2.8270 3.0978
Cl 2.6240 0.0000 0.4767
Cl 5.9576 1.8860 0.0000
Cl 6.0819 2.8270 5.5723
Cl 3.4700 0.0000 5.6508
Cl 5.2660 0.0000 3.0193
Cl 2.6541 -2.8270 3.0978
Cl 5.9576 -1.8860 0.0000
Cl 6.1120 0.0000 8.1934
Cl 6.0819 -2.8270 5.5723
F 0.0836 0.0000 2.5495
F 8.6524 0.0000 6.1206
```

---

(2)
Below is Pu3ZnTc2 after structural relaxation, with properties calculated at the GGA-PBE level.

Properties
As for the formation energy: 0.416 eV per atom. The value obtained for the uncorrected energy is -62.51 eV per cell. As for the space group: P4/mmm. Its total magnetization is 0.000 μB per atom.

The structure in extended XYZ format:
```
6
Lattice="2.5120 0.0000 0.0000 0.0000 2.5120 0.0000 0.0000 0.0000 15.5495" Properties=species:S:1:pos:R:3 pbc="T T T"
Pu 0.0000 0.0000 0.0000
Pu 0.0000 0.0000 5.2392
Pu 0.0000 0.0000 10.3103
Zn 1.2560 1.2560 7.7748
Tc 1.2560 1.2560 2.6312
Tc 1.2560 1.2560 12.9183
```

---

> Look up the total magnetization of the first one.

0.000 μB per atom

---

> What is the total magnetization in the second record?

0.000 μB per atom